Record 1
A relaxed Ta2B2Ir crystal. Source: Alexandria, functional PBEsol.

Summary:
SG = P4/mbm (127)
ΔE_f = -752 meV/atom
Spin magnetization = 0.0 Bohr magnetons per cell

Geometry as extended XYZ:
```
10
Lattice="-2.932 -0.237 -2.125 3.356 -0.837 -4.537 -0.193 -5.630 0.896" Properties=species:S:1:pos:R:3 pbc="T T T"
B 1.117 -5.297 -0.950
B 2.847 -4.209 -3.458
B 2.045 -1.170 -2.691
B 0.316 -2.258 -0.183
Ir 0.000 0.000 0.000
Ir 1.581 -3.234 -1.820
Ta -1.013 -4.057 -1.247
Ta 0.635 -5.335 -3.379
Ta 1.244 -2.647 -4.519
Ta -0.405 -1.370 -2.387
```

Record 2
A relaxed TbB2Ir3 crystal. Source: Alexandria, functional PBEsol.

Summary:
SG = P6/mmm (191)
ΔE_f = -708 meV/atom
Spin magnetization = 0.0 Bohr magnetons per cell

Geometry as extended XYZ:
```
6
Lattice="-0.934 2.919 -0.650 -2.894 -1.856 -4.180 -2.260 0.369 4.904" Properties=species:S:1:pos:R:3 pbc="T T T"
B -3.149 0.345 -1.477
B -2.938 1.087 1.551
Tb -0.467 1.459 -0.325
Ir -1.447 -0.928 -2.090
Ir -2.577 -0.744 0.362
Ir -1.130 0.184 2.452
```

Record 3
A relaxed TbB2Ir2 crystal. Source: Alexandria, functional PBEsol.

Summary:
SG = Fddd (70)
ΔE_f = -745 meV/atom
Spin magnetization = 0.0 Bohr magnetons per cell

Geometry as extended XYZ:
```
10
Lattice="-0.042 -2.478 -4.836 4.460 -0.707 3.022 -4.449 -2.810 3.182" Properties=species:S:1:pos:R:3 pbc="T T T"
B 3.645 -1.027 1.599
B 1.926 -2.234 4.072
B 0.773 -2.157 -3.412
B 0.295 -2.875 1.226
Tb 2.209 -1.592 -0.907
Tb -1.141 -3.440 -1.280
Ir 0.536 -4.882 0.794
Ir -0.566 -1.113 0.575
Ir 0.544 -3.667 3.224
Ir 1.676 -1.442 2.074
```

| no. | VASP energy (eV/atom) |
| --- | --- |
| 1 | -10.54 |
| 2 | -8.79 |
| 3 | -8.48 |